Tc3AgSb | PBE-GGA | optimized geometry

## Properties
Crystal system: cubic
Final energy, eV per atom: -5.649

Cell lengths 4.833, 4.833, 4.833 Å; angles 90.00, 90.00, 90.00 degrees
Space group Pm-3m (No. 221)
Inequivalent atoms, fractional coordinates:
1 Tc 0.000 0.000 0.500 [3 per cell]
2 Ag 0.500 0.500 0.500 [1 per cell]
3 Sb 0.000 0.000 0.000 [1 per cell]

=====

TcAgSb4 | PBE-GGA | optimized geometry

## Properties
Crystal system: cubic
Final energy, eV per atom: -4.014

Cell lengths 8.653, 8.653, 8.653 Å; angles 90.00, 90.00, 90.00 degrees
Space group F-43m (No. 216)
Inequivalent atoms, fractional coordinates:
1 Tc 0.000 0.000 0.000 [4 per cell]
2 Ag 0.250 0.250 0.750 [4 per cell]
3 Sb 0.125 0.125 0.375 [16 per cell]

=====

TcAg4Sb | PBE-GGA | optimized geometry

## Properties
Crystal system: cubic
Final energy, eV per atom: -3.754

Cell lengths 7.781, 7.781, 7.781 Å; angles 90.00, 90.00, 90.00 degrees
Space group F-43m (No. 216)
Inequivalent atoms, fractional coordinates:
1 Tc 0.000 0.000 0.000 [4 per cell]
2 Ag 0.125 0.125 0.625 [16 per cell]
3 Sb 0.250 0.250 0.250 [4 per cell]

=====

TcAgSb3 | PBE-GGA | optimized geometry

## Properties
Crystal system: cubic
Final energy, eV per atom: -3.802

Cell lengths 5.298, 5.298, 5.298 Å; angles 90.00, 90.00, 90.00 degrees
Space group Pm-3m (No. 221)
Inequivalent atoms, fractional coordinates:
1 Tc 0.000 0.000 0.000 [1 per cell]
2 Ag 0.500 0.500 0.500 [1 per cell]
3 Sb 0.000 0.500 0.500 [3 per cell]

=====

TcAgSb3 | PBE-GGA | optimized geometry

## Properties
Crystal system: cubic
Final energy, eV per atom: -4.552

Cell lengths 5.165, 5.165, 5.165 Å; angles 90.00, 90.00, 90.00 degrees
Space group Pm-3m (No. 221)
Inequivalent atoms, fractional coordinates:
1 Tc 0.000 0.000 0.000 [1 per cell]
2 Ag 0.500 0.500 0.500 [1 per cell]
3 Sb 0.000 0.000 0.500 [3 per cell]

=====

VTc2AgSb | PBE-GGA | optimized geometry

## Properties
Crystal system: tetragonal
Final energy, eV per atom: -5.469

Cell lengths 4.874, 4.874, 4.891 Å; angles 90.00, 90.00, 90.00 degrees
Space group P4/mmm (No. 123)
Inequivalent atoms, fractional coordinates:
1 V 0.000 0.000 0.000 [1 per cell]
2 Tc 0.000 0.500 0.500 [2 per cell]
3 Ag 0.500 0.500 0.000 [1 per cell]
4 Sb 0.500 0.500 0.500 [1 per cell]

=====

Number 1: formation energy without anion corrections 1.966 eV/atom, Fermi-level density of states 6.72 states/eV/cell, magnetization 0.0 μB/f.u.. Number 2: formation energy without anion corrections 0.937 eV/atom, Fermi-level density of states 17.51 states/eV/cell, magnetization 3.7 μB/f.u.. Number 3: formation energy without anion corrections 0.561 eV/atom, Fermi-level density of states 13.67 states/eV/cell, magnetization 3.3 μB/f.u.. Number 4: formation energy without anion corrections 1.314 eV/atom, Fermi-level density of states 4.52 states/eV/cell, magnetization 3.3 μB/f.u.. Number 5: formation energy without anion corrections 0.565 eV/atom, Fermi-level density of states 4.87 states/eV/cell, magnetization 0.6 μB/f.u.. Number 6: formation energy without anion corrections 1.896 eV/atom, Fermi-level density of states 7.47 states/eV/cell, magnetization 2.9 μB/f.u..